1.
Entry from Alexandria: a geometry-optimized Tb3Pm6Ho2Mg structure (PBE).

Unit cell a=6.214 b=10.772 c=11.762 alpha=90.00 beta=100.20 gamma=90.00
Space group C2/m (No. 12)
One atom of each set of equivalent atoms:
Tb (0.000, 0.000, 0.000) [2 per cell]
Tb (0.000, 0.334, 0.000) [4 per cell]
Pm (0.248, 0.334, 0.747) [8 per cell]
Pm (0.249, 0.000, 0.749) [4 per cell]
Ho (0.000, 0.166, 0.500) [4 per cell]
Mg (0.000, 0.500, 0.500) [2 per cell]

Properties
The calculation puts the magnetization at 0.0 μB per cell. Its volume is 32.3 Å³ per atom. Its energy is -52.9 eV per formula unit. As for the density of states at the Fermi level: 13.247 states/eV/f.u. The calculation puts the density at 7.29 g/cm³.

2.
Entry from Alexandria: a geometry-optimized Tb2PmHo5Mg structure (PBE).

Unit cell a=5.415 b=19.983 c=10.501 alpha=90.00 beta=90.00 gamma=90.00
Space group Cmc2_1 (No. 36)
One atom of each set of equivalent atoms:
Tb (0.000, 0.115, 0.000) [4 per cell]
Tb (0.000, 0.115, 0.422) [4 per cell]
Pm (0.000, 0.207, 0.711) [4 per cell]
Ho (0.000, 0.014, 0.711) [4 per cell]
Ho (0.000, 0.290, 0.009) [4 per cell]
Ho (0.000, 0.291, 0.413) [4 per cell]
Ho (0.000, 0.385, 0.711) [4 per cell]
Ho (0.000, 0.500, 0.460) [4 per cell]
Mg (0.000, 0.405, 0.209) [4 per cell]

Properties
The calculation puts the magnetization at 0.0 μB per cell. Its volume is 31.6 Å³ per atom. Its energy is -37.5 eV per formula unit. As for the density of states at the Fermi level: 12.565 states/eV/f.u. The calculation puts the density at 7.67 g/cm³.

3.
Entry from Alexandria: a geometry-optimized TbPm4Ho2Mg structure (PBE).

Unit cell a=5.049 b=5.049 c=9.979 alpha=90.00 beta=90.00 gamma=90.00
Space group P4/mmm (No. 123)
One atom of each set of equivalent atoms:
Tb (0.000, 0.000, 0.000) [1 per cell]
Pm (0.000, 0.500, 0.254) [4 per cell]
Ho (0.000, 0.000, 0.500) [1 per cell]
Ho (0.500, 0.500, 0.000) [1 per cell]
Mg (0.500, 0.500, 0.500) [1 per cell]

Properties
The calculation puts the magnetization at 0.0 μB per cell. Its volume is 31.8 Å³ per atom. Its energy is -34.3 eV per formula unit. As for the density of states at the Fermi level: 10.431 states/eV/f.u. The calculation puts the density at 7.14 g/cm³.

4.
Entry from Alexandria: a geometry-optimized Tb6Pm3Ho2Mg structure (PBE).

Unit cell a=6.170 b=10.698 c=11.736 alpha=90.00 beta=100.18 gamma=90.00
Space group C2/m (No. 12)
One atom of each set of equivalent atoms:
Tb (0.247, 0.166, 0.245) [8 per cell]
Tb (0.248, 0.500, 0.246) [4 per cell]
Pm (0.000, 0.166, 0.500) [4 per cell]
Pm (0.000, 0.500, 0.500) [2 per cell]
Ho (0.000, 0.334, 0.000) [4 per cell]
Mg (0.000, 0.000, 0.000) [2 per cell]

Properties
The calculation puts the magnetization at 0.0 μB per cell. Its volume is 31.8 Å³ per atom. Its energy is -52.4 eV per formula unit. As for the density of states at the Fermi level: 16.906 states/eV/f.u. The calculation puts the density at 7.59 g/cm³.